Record 1
Here is an optimized crystal structure of NiMoI2N from Alexandria via LeMat-Bulk. Energies are from PBE.

Geometry as POSCAR:
```
NiMoI2N
1.0
-2.756 4.650 1.222
-3.816 -1.260 -3.816
-1.830 -1.714 2.396
I Ni Mo N
2 1 1 1
Direct
0.000 0.500 0.000 I
0.500 0.000 0.000 I
0.000 0.000 0.000 Ni
0.500 0.500 0.500 Mo
0.000 0.000 0.500 N
```

Properties
ΔE_f (raw) ... 5.35 eV per formula unit
Symmetry ... P4/mmm
Calculated volume ... 21.3 A^3/atom

=====

Record 2
Here is an optimized crystal structure of BaZrRe2 from Alexandria via LeMat-Bulk. Energies are from PBE.

Geometry as POSCAR:
```
BaZrRe2
1.0
-2.639 -9.275 2.545
0.480 -9.726 2.154
-0.633 -8.649 4.926
Ba Re Zr
1 2 1
Direct
0.750 0.750 0.750 Ba
0.987 0.987 0.987 Re
0.513 0.513 0.513 Re
0.250 0.250 0.250 Zr
```

Properties
Calculated formation energy ... 0.9511 eV per atom
Symmetry ... R-3m
Calculated volume ... 21.4 A^3/atom

=====

Record 3
Here is an optimized crystal structure of ZrTaNb from Alexandria via LeMat-Bulk. Energies are from PBE.

Geometry as POSCAR:
```
ZrTaNb
1.0
4.899 0.000 0.000
2.450 4.243 0.000
2.450 1.414 6.157
Ta Zr Nb
2 2 2
Direct
0.070 0.070 0.789 Ta
0.930 0.930 0.211 Ta
0.627 0.627 0.120 Zr
0.373 0.373 0.880 Zr
0.210 0.210 0.371 Nb
0.790 0.790 0.629 Nb
```

Properties
Calculated formation energy ... 0.4053 eV per atom
Symmetry ... R-3m
Calculated volume ... 21.3 A^3/atom

=====

Record 4
Here is an optimized crystal structure of ErFeSn2 from Alexandria via LeMat-Bulk. Energies are from PBE.

Geometry as POSCAR:
```
ErFeSn2
1.0
-2.228 -0.253 3.783
2.039 -1.311 3.669
1.196 4.444 3.558
Fe Sn Er
1 2 1
Direct
0.500 0.500 0.500 Fe
0.776 0.776 0.673 Sn
0.224 0.224 0.327 Sn
0.000 0.000 0.000 Er
```

Properties
Calculated formation energy ... -0.1944 eV per atom
Symmetry ... R-3m
Calculated volume ... 21.9 A^3/atom

=====

Record 5
Here is an optimized crystal structure of AcBeZnPt2 from Alexandria via LeMat-Bulk. Energies are from PBE.

Geometry as POSCAR:
```
AcBeZnPt2
1.0
-2.290 -2.247 2.635
1.256 -3.483 -1.879
4.909 2.540 3.162
Ac Be Zn Pt
1 1 1 2
Direct
0.000 0.000 0.000 Ac
0.750 0.250 0.500 Be
0.250 0.750 0.500 Zn
0.626 0.626 0.252 Pt
0.374 0.374 0.748 Pt
```

Properties
Calculated formation energy ... -0.7380 eV per atom
Symmetry ... I-4m2
Calculated volume ... 19.5 A^3/atom

=====

Record 6
Here is an optimized crystal structure of Ba2IrCl from Alexandria via LeMat-Bulk. Energies are from PBE.

Geometry as POSCAR:
```
Ba2IrCl
1.0
0.000 3.870 3.870
3.870 0.000 3.870
3.870 3.870 0.000
Ir Ba Cl
1 2 1
Direct
0.500 0.500 0.500 Ir
0.250 0.250 0.250 Ba
0.750 0.750 0.750 Ba
0.000 0.000 0.000 Cl
```

Properties
ΔE_f (raw) ... -3.22 eV per formula unit
Symmetry ... Fm-3m
Calculated volume ... 29.0 A^3/atom

=====

Record 7
Here is an optimized crystal structure of Hf3Mn2Al from Alexandria via LeMat-Bulk. Energies are from PBE.

Geometry as POSCAR:
```
Hf3Mn2Al
1.0
-0.114 3.115 0.819
-2.892 0.262 -1.398
-4.277 -2.365 8.403
Hf Mn Al
3 2 1
Direct
0.000 0.000 0.000 Hf
0.000 0.000 0.686 Hf
0.000 0.000 0.314 Hf
0.500 0.500 0.832 Mn
0.500 0.500 0.168 Mn
0.500 0.500 0.500 Al
```

Properties
Calculated formation energy ... -0.2459 eV per atom
Symmetry ... P4/mmm
Calculated volume ... 16.8 A^3/atom

=====

Record 8
Here is an optimized crystal structure of YGa2AsI from Alexandria via LeMat-Bulk. Energies are from PBE.

Geometry as POSCAR:
```
YGa2AsI
1.0
-4.198 -0.383 4.018
3.027 -3.974 2.783
2.606 4.170 3.120
I Y As Ga
1 1 1 2
Direct
0.000 0.500 0.000 I
0.000 0.000 0.000 Y
0.500 0.500 0.500 As
0.000 0.000 0.500 Ga
0.500 0.000 0.000 Ga
```

Properties
ΔE_f (raw) ... 2.82 eV per formula unit
Symmetry ... P4/mmm
Calculated volume ... 38.8 A^3/atom

=====

Record 9
Here is an optimized crystal structure of Tm2AlNi from Alexandria via LeMat-Bulk. Energies are from PBE.

Geometry as POSCAR:
```
Tm2AlNi
1.0
3.359 0.000 0.000
0.000 3.359 0.000
0.000 0.000 7.291
Ni Tm Al
1 2 1
Direct
0.500 0.500 0.000 Ni
0.000 0.000 0.777 Tm
0.000 0.000 0.223 Tm
0.500 0.500 0.500 Al
```

Properties
Calculated formation energy ... -0.4292 eV per atom
Symmetry ... P4/mmm
Calculated volume ... 20.6 A^3/atom

=====

Record 10
Here is an optimized crystal structure of Y2ErCu from Alexandria via LeMat-Bulk. Energies are from PBE.

Geometry as POSCAR:
```
Y2ErCu
1.0
-0.450 -3.301 -1.050
1.500 -1.140 2.942
-7.771 -0.180 3.893
Y Cu Er
2 1 1
Direct
0.000 0.000 0.800 Y
0.000 0.000 0.200 Y
0.500 0.500 0.000 Cu
0.500 0.500 0.500 Er
```

Properties
Calculated formation energy ... -0.0850 eV per atom
Symmetry ... P4/mmm
Calculated volume ... 26.5 A^3/atom

=====

Record 11
Here is an optimized crystal structure of Y2BeAgAs from Alexandria via LeMat-Bulk. Energies are from PBE.

Geometry as POSCAR:
```
Y2BeAgAs
1.0
5.475 0.000 0.000
0.000 4.064 0.000
0.000 0.000 5.475
Y Be As Ag
2 1 1 1
Direct
0.000 0.000 0.500 Y
0.500 0.000 0.000 Y
0.000 0.500 0.000 Be
0.000 0.000 0.000 As
0.500 0.500 0.500 Ag
```

Properties
Calculated formation energy ... -0.1722 eV per atom
Symmetry ... P4/mmm
Calculated volume ... 24.4 A^3/atom

=====

Record 12
Here is an optimized crystal structure of Ag2MoPdRh from Alexandria via LeMat-Bulk. Energies are from PBE.

Geometry as POSCAR:
```
Ag2MoPdRh
1.0
-2.081 3.695 2.704
-3.864 -2.383 0.283
1.646 -2.167 4.229
Mo Rh Pd Ag
1 1 1 2
Direct
0.000 0.000 0.000 Mo
0.000 0.500 0.000 Rh
0.500 0.500 0.500 Pd
0.000 0.000 0.500 Ag
0.500 0.000 0.000 Ag
```

Properties
Calculated formation energy ... 1.4795 eV per atom
Symmetry ... P4/mmm
Calculated volume ... 23.0 A^3/atom

=====

Question: Which formula does entry 3 have?
Answer: ZrTaNb

=====

Question: Which formula does entry 7 have?
Answer: Hf3Mn2Al

=====

Question: Among the records above, which one has the lowest calculated volume?
Answer: Hf3Mn2Al

=====

Question: Which value of calculated volume does entry 5 give?
Answer: 19.5 A^3/atom